<A>
A plane-wave DFT calculation with SCAN was carried out for a crystal of Y2TcCl relaxed with PBEsol.

Unit cell a=3.379 b=3.448 c=7.858 alpha=90.96 beta=90.00 gamma=90.00
Element x y z (fractional)
Y  0.000  0.021  0.293
Y  0.000  0.979  0.707
Tc  0.500  0.500  0.500
Cl  0.500  0.000  0.000

Calculated values
Calculated volume (Å³ per cell): 91.54
SG: P2/m (10)
Spin magnetization (μB per formula unit): 0.00



<B>
A plane-wave DFT calculation with SCAN was carried out for a crystal of Y2TcCl relaxed with PBEsol.

Unit cell a=3.220 b=5.225 c=5.225 alpha=88.54 beta=78.18 gamma=78.18
Element x y z (fractional)
Y  0.000  0.000  0.500
Y  0.000  0.500  0.000
Tc  0.500  0.500  0.500
Cl  0.500  0.000  0.000

Calculated values
Calculated volume (Å³ per cell): 84.21
SG: C2/m (12)
Spin magnetization (μB per formula unit): 0.00



Most stable = <A>



<A>
A plane-wave DFT calculation with SCAN was carried out for a crystal of Y2TcCl relaxed with PBEsol.

Unit cell a=3.359 b=3.359 c=7.625 alpha=90.00 beta=90.00 gamma=90.00
Element x y z (fractional)
Y  0.000  0.000  0.714
Y  0.000  0.000  0.286
Tc  0.500  0.500  0.500
Cl  0.500  0.500  0.000

Calculated values
Calculated volume (Å³ per cell): 86.02
SG: P4/mmm (123)
Spin magnetization (μB per formula unit): 0.00



<B>
A plane-wave DFT calculation with SCAN was carried out for a crystal of Y2TcCl relaxed with PBEsol.

Unit cell a=3.417 b=4.529 c=5.506 alpha=90.00 beta=90.00 gamma=90.00
Element x y z (fractional)
Y  0.000  0.000  0.500
Y  0.500  0.500  0.000
Tc  0.500  0.500  0.500
Cl  0.000  0.000  0.000

Calculated values
Calculated volume (Å³ per cell): 85.19
SG: Pmmm (47)
Spin magnetization (μB per formula unit): 0.00



Most stable = <A>



<A>
A plane-wave DFT calculation with SCAN was carried out for a crystal of ZnTcCl relaxed with PBEsol.

Unit cell a=2.903 b=2.903 c=6.148 alpha=103.66 beta=103.66 gamma=90.00
Element x y z (fractional)
Zn  0.302  0.302  0.603
Tc  0.662  0.662  0.324
Cl  0.036  0.036  0.073

Calculated values
Calculated volume (Å³ per cell): 48.85
SG: I4mm (107)
Spin magnetization (μB per formula unit): 0.00



<B>
A plane-wave DFT calculation with SCAN was carried out for a crystal of ZnTcCl relaxed with PBEsol.

Unit cell a=2.937 b=2.937 c=6.108 alpha=90.00 beta=90.00 gamma=120.00
Element x y z (fractional)
Zn  0.333  0.667  0.355
Tc  0.667  0.333  0.680
Cl  0.000  0.000  0.964

Calculated values
Calculated volume (Å³ per cell): 45.63
SG: P3m1 (156)
Spin magnetization (μB per formula unit): 0.00



Most stable = <B>



<A>
A plane-wave DFT calculation with SCAN was carried out for a crystal of Zr2TcCl relaxed with PBEsol.

Unit cell a=3.226 b=3.291 c=7.589 alpha=102.52 beta=102.27 gamma=90.00
Element x y z (fractional)
Tc  0.197  0.697  0.395
Zr  0.060  0.060  0.121
Zr  0.792  0.292  0.585
Cl  0.450  0.450  0.899

Calculated values
Calculated volume (Å³ per cell): 76.77
SG: Imm2 (44)
Spin magnetization (μB per formula unit): 0.00



<B>
A plane-wave DFT calculation with SCAN was carried out for a crystal of Zr2TcCl relaxed with PBEsol.

Unit cell a=3.055 b=3.055 c=9.110 alpha=90.00 beta=90.00 gamma=115.13
Element x y z (fractional)
Tc  0.500  0.500  0.227
Zr  0.000  0.000  0.019
Zr  0.500  0.500  0.736
Cl  0.000  0.000  0.518

Calculated values
Calculated volume (Å³ per cell): 76.99
SG: Cmm2 (35)
Spin magnetization (μB per formula unit): 0.00



Most stable = <A>